(a)
The following is a DFT calculation (PBE) of crystalline PrGdIn2Ni4 at its relaxed geometry.

Geometry as POSCAR:
```
PrGdIn2Ni4
1.0
4.0490 0.0000 0.0000
0.0000 5.1869 0.0000
0.0000 0.0000 7.1176
Pr Gd In Ni
1 1 2 4
direct
0.0000 0.0000 0.0000
0.0000 0.5000 0.5441
0.5000 0.0000 0.6188
0.5000 0.5000 0.9259
0.0000 0.0000 0.3850
0.0000 0.5000 0.1679
0.5000 0.2534 0.2781
0.5000 0.7466 0.2781
```

Summary:
Symmetry = Pmm2
Volume = 149.5 Å³/f.u.
Crystal system = orthorhombic

(b)
The following is a DFT calculation (PBE) of crystalline PrGdIn2Ni4 at its relaxed geometry.

Geometry as POSCAR:
```
PrGdIn2Ni4
1.0
4.4348 0.0000 0.0000
-2.2174 3.8406 0.0000
0.0000 0.0000 8.8067
Pr Gd In Ni
1 1 2 4
direct
0.0000 0.0000 0.0000
0.3333 0.6667 0.5000
0.6667 0.3333 0.2582
0.6667 0.3333 0.7418
0.0000 0.0000 0.3346
0.0000 0.0000 0.6654
0.3333 0.6667 0.1834
0.3333 0.6667 0.8166
```

Summary:
Symmetry = P-6m2
Volume = 150.0 Å³/f.u.
Crystal system = hexagonal

(a) has the most favorable energy; the next structure is 5.5 kJ/mol of atoms above.

(a)
The following is a DFT calculation (PBE) of crystalline TbGdIn2Ni4 at its relaxed geometry.

Geometry as POSCAR:
```
TbGdIn2Ni4
1.0
4.4208 0.0000 0.0000
-2.2104 3.8285 0.0000
0.0000 0.0000 8.5097
Tb Gd In Ni
1 1 2 4
direct
0.0000 0.0000 0.0000
0.3333 0.6667 0.5000
0.6667 0.3333 0.2492
0.6667 0.3333 0.7508
0.0000 0.0000 0.3340
0.0000 0.0000 0.6660
0.3333 0.6667 0.1641
0.3333 0.6667 0.8359
```

Summary:
Symmetry = P-6m2
Volume = 144.0 Å³/f.u.
Crystal system = hexagonal

(b)
The following is a DFT calculation (PBE) of crystalline TbGdIn2Ni4 at its relaxed geometry.

Geometry as POSCAR:
```
TbGdIn2Ni4
1.0
4.0242 0.0000 0.0000
0.0000 5.1184 0.0000
0.0000 0.0000 7.0490
Tb Gd In Ni
1 1 2 4
direct
0.0000 0.0000 0.0000
0.0000 0.5000 0.4642
0.5000 0.0000 0.3795
0.5000 0.5000 0.0849
0.0000 0.0000 0.6211
0.0000 0.5000 0.8446
0.5000 0.2493 0.7332
0.5000 0.7507 0.7332
```

Summary:
Symmetry = Pmm2
Volume = 145.2 Å³/f.u.
Crystal system = orthorhombic

(b) has the most favorable energy; the next structure is 5.5 kJ/mol of atoms above.

(a)
The following is a DFT calculation (PBE) of crystalline PrGdIn2 at its relaxed geometry.

Geometry as POSCAR:
```
PrGdIn2
1.0
4.4113 0.0000 0.0000
0.0000 2.3262 5.8838
0.0000 -2.3262 5.8838
Pr Gd In
1 1 2
direct
0.0000 0.0000 0.0000
0.5000 0.7210 0.7210
0.0000 0.2757 0.2757
0.5000 0.4410 0.4410
```

Summary:
Symmetry = Amm2
Volume = 120.8 Å³/f.u.
Crystal system = orthorhombic

(b)
The following is a DFT calculation (PBE) of crystalline PrGdIn2 at its relaxed geometry.

Geometry as POSCAR:
```
PrGdIn2
1.0
3.8386 0.0000 0.0000
0.0000 3.8386 0.0000
0.0000 0.0000 7.6937
Pr Gd In
1 1 2
direct
0.0000 0.0000 0.0000
0.0000 0.0000 0.5000
0.5000 0.5000 0.2613
0.5000 0.5000 0.7387
```

Summary:
Symmetry = P4/mmm
Volume = 113.4 Å³/f.u.
Crystal system = tetragonal

(b) has the most favorable energy; the next structure is 5.0 kJ/mol of atoms above.

(a)
The following is a DFT calculation (PBE) of crystalline GdScIn at its relaxed geometry.

Geometry as POSCAR:
```
GdScIn
1.0
5.2781 0.0000 0.0000
-2.6390 4.5710 0.0000
0.0000 0.0000 6.5026
Gd Sc In
2 2 2
direct
0.3333 0.6667 0.2500
0.6667 0.3333 0.7500
0.0000 0.0000 0.0000
0.0000 0.0000 0.5000
0.3333 0.6667 0.7500
0.6667 0.3333 0.2500
```

Summary:
Symmetry = P6_3/mmc
Volume = 78.4 Å³/f.u.
Crystal system = hexagonal

(b)
The following is a DFT calculation (PBE) of crystalline GdScIn at its relaxed geometry.

Geometry as POSCAR:
```
GdScIn
1.0
0.0000 3.5699 3.5699
3.5699 0.0000 3.5699
3.5699 3.5699 0.0000
Gd Sc In
1 1 1
direct
0.0000 0.0000 0.0000
0.5000 0.5000 0.5000
0.2500 0.2500 0.2500
```

Summary:
Symmetry = F-43m
Volume = 91.0 Å³/f.u.
Crystal system = cubic

(c)
The following is a DFT calculation (PBE) of crystalline GdScIn at its relaxed geometry.

Geometry as POSCAR:
```
GdScIn
1.0
5.2034 0.0000 0.0000
-2.6017 4.5063 0.0000
0.0000 0.0000 6.6384
Gd Sc In
2 2 2
direct
0.0000 0.0000 0.0000
0.0000 0.0000 0.5000
0.3333 0.6667 0.2500
0.6667 0.3333 0.7500
0.3333 0.6667 0.7500
0.6667 0.3333 0.2500
```

Summary:
Symmetry = P6_3/mmc
Volume = 77.8 Å³/f.u.
Crystal system = hexagonal

(c) has the most favorable energy; the next structure is 3.0 kJ/mol of atoms above.

(a)
The following is a DFT calculation (PBE) of crystalline SmGdIn2 at its relaxed geometry.

Geometry as POSCAR:
```
SmGdIn2
1.0
3.7724 0.0000 0.0000
0.0000 3.7724 0.0000
0.0000 0.0000 7.7206
Sm Gd In
1 1 2
direct
0.0000 0.0000 0.0000
0.0000 0.0000 0.5000
0.5000 0.5000 0.2528
0.5000 0.5000 0.7472
```

Summary:
Symmetry = P4/mmm
Volume = 109.9 Å³/f.u.
Crystal system = tetragonal

(b)
The following is a DFT calculation (PBE) of crystalline SmGdIn2 at its relaxed geometry.

Geometry as POSCAR:
```
SmGdIn2
1.0
4.3634 0.0000 0.0000
0.0000 2.3045 5.8312
0.0000 -2.3045 5.8312
Sm Gd In
1 1 2
direct
0.0000 0.0000 0.0000
0.5000 0.2792 0.2792
0.0000 0.7246 0.7246
0.5000 0.5560 0.5560
```

Summary:
Symmetry = Amm2
Volume = 117.3 Å³/f.u.
Crystal system = orthorhombic

(a) has the most favorable energy; the next structure is 4.4 kJ/mol of atoms above.

(a)
The following is a DFT calculation (PBE) of crystalline GdPIrO at its relaxed geometry.

Geometry as POSCAR:
```
GdPIrO
1.0
3.9351 0.0000 0.0000
0.0000 3.9351 0.0000
0.0000 0.0000 4.4800
Gd P Ir O
1 1 1 1
direct
0.0000 0.0000 0.0000
0.5000 0.5000 0.0000
0.5000 0.5000 0.5000
0.0000 0.0000 0.5000
```

Summary:
Symmetry = P4/mmm
Volume = 69.4 Å³/f.u.
Crystal system = tetragonal

(b)
The following is a DFT calculation (PBE) of crystalline GdPIrO at its relaxed geometry.

Geometry as POSCAR:
```
GdPIrO
1.0
3.9585 0.0000 0.0000
0.0000 3.9585 0.0000
0.0000 0.0000 8.1477
Gd P Ir O
2 2 2 2
direct
0.2500 0.2500 0.1375
0.7500 0.7500 0.8625
0.2500 0.2500 0.6609
0.7500 0.7500 0.3391
0.2500 0.7500 0.5000
0.7500 0.2500 0.5000
0.2500 0.7500 0.0000
0.7500 0.2500 0.0000
```

Summary:
Symmetry = P4/nmm
Volume = 63.8 Å³/f.u.
Crystal system = tetragonal

(c)
The following is a DFT calculation (PBE) of crystalline GdPIrO at its relaxed geometry.

Geometry as POSCAR:
```
GdPIrO
1.0
5.6827 0.0000 0.0000
0.0000 5.6827 0.0000
0.0000 0.0000 4.4516
Gd P Ir O
2 2 2 2
direct
0.2500 0.7500 0.0000
0.7500 0.2500 0.0000
0.2500 0.2500 0.0083
0.7500 0.7500 0.9917
0.2500 0.2500 0.5087
0.7500 0.7500 0.4913
0.2500 0.7500 0.5000
0.7500 0.2500 0.5000
```

Summary:
Symmetry = P4/nmm
Volume = 71.9 Å³/f.u.
Crystal system = tetragonal

(d)
The following is a DFT calculation (PBE) of crystalline GdPIrO at its relaxed geometry.

Geometry as POSCAR:
```
GdPIrO
1.0
4.5728 0.0000 0.0000
0.0000 4.1321 0.0000
0.0000 0.0000 6.7215
Gd P Ir O
2 2 2 2
direct
0.0000 0.2251 0.0000
0.0000 0.7749 0.5000
0.5000 0.2127 0.6838
0.5000 0.7873 0.1838
0.5000 0.2898 0.3419
0.5000 0.7102 0.8419
0.0000 0.2800 0.3401
0.0000 0.7200 0.8401
```

Summary:
Symmetry = Pmc2_1
Volume = 63.5 Å³/f.u.
Crystal system = orthorhombic

(b) has the most favorable energy; the next structure is 50.7 kJ/mol of atoms above.